Record 1
First-principles (PBE) data for a geometry-optimized AcCeIn2 structure, as listed in Alexandria.

Total magnetic moment in μB/atom: 0.299
Formation enthalpy at 0 K in eV/f.u.: -1.358

a b c (Å): 4.627 5.192 5.192
angles (deg): 90.00 90.00 90.00
Last column: magnetic moment on the atom in μB.
Atoms (fractional coordinates):
In 0.000 0.000 0.500  0.00
In 0.000 0.500 0.000  0.00
Ce 0.500 0.000 0.000  0.88
Ac 0.500 0.500 0.500  0.06



Record 2
First-principles (PBE) data for a geometry-optimized AcCe3In3 structure, as listed in Alexandria.

Total magnetic moment in μB/atom: 0.482
Formation enthalpy at 0 K in eV/f.u.: -1.595

a b c (Å): 5.077 9.842 9.842
angles (deg): 120.00 90.00 90.00
Last column: magnetic moment on the atom in μB.
Atoms (fractional coordinates):
In 0.750 0.450 0.060  -0.01
In 0.250 0.389 0.450  -0.01
In 0.250 0.550 0.940  -0.01
In 0.250 0.060 0.611  -0.01
In 0.750 0.611 0.550  -0.01
In 0.750 0.940 0.389  -0.01
Ce 0.250 0.774 0.779  0.88
Ce 0.250 0.005 0.226  0.88
Ce 0.750 0.995 0.774  0.88
Ce 0.250 0.221 0.995  0.88
Ce 0.750 0.779 0.005  0.88
Ce 0.750 0.226 0.221  0.88
Ac 0.250 0.667 0.333  0.00
Ac 0.750 0.333 0.667  0.00



Record 3
First-principles (PBE) data for a geometry-optimized AcCeIn5 structure, as listed in Alexandria.

Total magnetic moment in μB/atom: 0.105
Formation enthalpy at 0 K in eV/f.u.: -1.010

a b c (Å): 5.412 5.412 7.449
angles (deg): 90.00 90.00 90.00
Last column: magnetic moment on the atom in μB.
Atoms (fractional coordinates):
Ac 0.000 0.000 0.500  -0.01
In 0.000 0.500 0.775  0.00
In 0.500 0.000 0.775  0.00
In 0.000 0.500 0.225  0.00
In 0.500 0.000 0.225  0.00
In 0.500 0.500 0.500  -0.01
Ce 0.500 0.500 0.000  0.70



Record 4
First-principles (PBE) data for a geometry-optimized Ac2CeIn structure, as listed in Alexandria.

Energy above the lowest structure with this stoichiometry in meV/atom: 0.0
Total magnetic moment in μB/atom: 0.277
Formation enthalpy at 0 K in eV/f.u.: -0.467

a b c (Å): 5.022 5.273 5.273
angles (deg): 90.00 90.00 90.00
Last column: magnetic moment on the atom in μB.
Atoms (fractional coordinates):
Ce 0.500 0.500 0.500  0.83
In 0.500 0.000 0.000  -0.01
Ac 0.000 0.000 0.500  0.03
Ac 0.000 0.500 0.000  0.03



Record 5
First-principles (PBE) data for a geometry-optimized AcCeIn2 structure, as listed in Alexandria.

Total magnetic moment in μB/atom: 0.246
Formation enthalpy at 0 K in eV/f.u.: -1.423

a b c (Å): 3.996 3.996 7.929
angles (deg): 90.00 90.00 90.00
Last column: magnetic moment on the atom in μB.
Atoms (fractional coordinates):
Ce 0.500 0.500 0.000  0.87
In 0.000 0.000 0.769  0.01
In 0.000 0.000 0.231  0.01
Ac 0.500 0.500 0.500  -0.01



Record 6
First-principles (PBE) data for a geometry-optimized AcCeIn4 structure, as listed in Alexandria.

Energy above the lowest structure with this stoichiometry in meV/atom: 0.0
Total magnetic moment in μB/atom: 0.132
Formation enthalpy at 0 K in eV/f.u.: -2.347

a b c (Å): 5.118 5.118 7.681
angles (deg): 90.00 90.00 120.00
Last column: magnetic moment on the atom in μB.
Atoms (fractional coordinates):
Ce 0.000 0.000 0.000  0.77
In 0.333 0.667 0.228  -0.01
In 0.333 0.667 0.772  -0.01
In 0.667 0.333 0.772  -0.01
In 0.667 0.333 0.228  -0.01
Ac 0.000 0.000 0.500  0.00



Record 7
First-principles (PBE) data for a geometry-optimized Ac2CeIn structure, as listed in Alexandria.

Energy above the lowest structure with this stoichiometry in meV/atom: 125.8
Total magnetic moment in μB/atom: 0.295
Formation enthalpy at 0 K in eV/f.u.: 0.036

a b c (Å): 5.852 5.852 5.852
angles (deg): 60.00 60.00 60.00
Last column: magnetic moment on the atom in μB.
Atoms (fractional coordinates):
Ce 0.000 0.000 0.000  0.84
Ac 0.750 0.750 0.750  0.04
Ac 0.250 0.250 0.250  0.04
In 0.500 0.500 0.500  -0.01



Record 8
First-principles (PBE) data for a geometry-optimized AcCe4In5 structure, as listed in Alexandria.

Total magnetic moment in μB/atom: 0.410
Formation enthalpy at 0 K in eV/f.u.: -3.385

a b c (Å): 4.174 4.174 16.779
angles (deg): 90.00 90.00 90.00
Last column: magnetic moment on the atom in μB.
Atoms (fractional coordinates):
In 0.500 0.500 0.880  -0.01
In 0.500 0.500 0.500  0.01
In 0.500 0.500 0.311  -0.01
In 0.500 0.500 0.120  -0.01
In 0.500 0.500 0.689  -0.01
Ce 0.000 0.000 0.400  0.86
Ce 0.000 0.000 0.600  0.86
Ce 0.000 0.000 0.775  0.81
Ce 0.000 0.000 0.225  0.81
Ac 0.000 0.000 0.000  0.01